Below is a relaxed LiMnRhO4 crystal, with properties calculated at the GGA+U level.

```
LiMnRhO4
1.0
5.9768 -0.0232 0.0035
-0.0778 5.9764 -0.0035
-2.8299 -3.0952 4.2585
Li Mn Rh O
2 2 2 8
Cartesian
-0.0246 4.4565 1.0620
3.0938 -1.5984 3.1966
1.5346 1.4290 2.1293
2.9884 -0.0116 0.0018
2.9495 2.9766 0.0000
-1.4538 1.4406 2.1275
2.9650 0.0687 1.9796
1.6151 1.4063 0.1514
4.2998 1.4291 0.0876
2.9633 2.7535 2.0434
0.1042 2.7893 2.2789
1.4541 1.4517 4.1071
-1.2306 1.4289 4.1709
0.1059 0.1046 2.2151
```

Results
The value obtained for the uncorrected energy is -6.59 eV per atom. The magnetization comes out at 0.4252 μB per atom.